{
  "formula": "Ca4InHg",
  "functional": "PBE-GGA",
  "state": "relaxed",
  "e_form_ev_per_atom": -0.361,
  "total_magnetization_mub_per_fu": 0.00,
  "sg": "C2/m",
  "de_polymorph_mev_per_atom": 0,
  "lattice_angstrom": [[13.627, 0.000, 0.000], [0.000, 3.888, 0.000], [-2.185, 0.000, 7.411]],
  "species": ["Ca", "Ca", "Ca", "Ca", "Ca", "Ca", "Ca", "Ca", "In", "In", "Hg", "Hg"],
  "frac_coords": [[0.139, 0.000, 0.322], [0.140, 0.000, 0.818], [0.360, 0.500, 0.182], [0.361, 0.500, 0.678], [0.639, 0.500, 0.322], [0.640, 0.500, 0.818], [0.860, 0.000, 0.182], [0.861, 0.000, 0.678], [0.000, 0.500, 0.000], [0.500, 0.000, 0.000], [0.000, 0.500, 0.500], [0.500, 0.000, 0.500]]
}